Entry 1:
Density functional theory data (PBE) for a relaxed structure of SmErBi2.

Results
Calculated density ... 9.38 g/cm³
Energy above the most stable polymorph in this dataset ... 77 meV per atom
DFT total energy ... -5.051 eV per atom
Crystal system ... hexagonal

The structure in POSCAR format:
```
SmErBi2
1.0
-2.6660 2.7804 2.3045
0.8331 -4.1231 1.5668
11.8528 5.2148 7.4206
Er Bi Sm
2 4 2
direct
0.3333 0.6667 0.7500
0.6667 0.3333 0.2500
0.6667 0.3333 0.6259
0.3333 0.6667 0.3741
0.3333 0.6667 0.1259
0.6667 0.3333 0.8741
0.0000 0.0000 0.0000
0.0000 0.0000 0.5000
```

***

Entry 2:
Density functional theory data (PBE) for a relaxed structure of Sm8ErBi6.

Results
Calculated density ... 8.31 g/cm³
DFT total energy ... -4.937 eV per atom
Crystal system ... trigonal

The structure in POSCAR format:
```
Sm8ErBi6
1.0
-4.7343 5.8453 -2.0377
-3.8381 -0.2761 -6.7769
-10.4767 -2.7451 1.5645
Bi Sm Er
6 8 1
direct
0.2670 0.6109 0.1842
0.3891 0.0621 0.8158
0.6109 0.9379 0.1842
0.7330 0.3891 0.8158
0.9379 0.2670 0.1842
0.0621 0.7330 0.8158
0.2171 0.8810 0.3604
0.3332 0.3332 0.0003
0.8810 0.5414 0.3604
0.5414 0.2171 0.3604
0.1190 0.4586 0.6396
0.7829 0.1190 0.6396
0.4586 0.7829 0.6396
0.6668 0.6668 0.9997
0.0000 0.0000 0.0000
```

***

Entry 3:
Density functional theory data (PBE) for a relaxed structure of Sm3ErBi2.

Results
Calculated density ... 9.06 g/cm³
Energy above the most stable polymorph in this dataset ... 140 meV per atom
DFT total energy ... -4.905 eV per atom
Crystal system ... monoclinic

The structure in POSCAR format:
```
Sm3ErBi2
1.0
4.3847 0.0000 0.0000
-2.1923 10.4754 -0.8739
0.0000 -5.3476 8.7159
Bi Sm Er
4 6 2
direct
0.7466 0.4932 0.2181
0.2534 0.5068 0.7819
0.4948 0.9897 0.8324
0.5052 0.0103 0.1676
0.3122 0.6243 0.5171
0.9455 0.8911 0.5614
0.0545 0.1089 0.4386
0.6878 0.3757 0.4829
0.6452 0.2904 0.8142
0.3548 0.7096 0.1858
0.8908 0.7817 0.8871
0.1092 0.2183 0.1129
```

***

Entry 4:
Density functional theory data (PBE) for a relaxed structure of Sm5Er2Bi4.

Results
Calculated density ... 8.74 g/cm³
DFT total energy ... -4.670 eV per atom
Crystal system ... monoclinic

The structure in POSCAR format:
```
Sm5Er2Bi4
1.0
-0.0570 -2.3263 2.6326
5.7702 -3.9407 -3.3572
9.0034 8.5380 5.3949
Sm Er Bi
5 2 4
direct
0.1404 0.8725 0.2807
0.7633 0.7879 0.5265
0.2367 0.2121 0.4735
0.5000 0.0000 0.0000
0.8596 0.1275 0.7193
0.0869 0.3110 0.1738
0.9131 0.6891 0.8262
0.3281 0.4889 0.6562
0.9645 0.3243 0.9289
0.6719 0.5111 0.3438
0.0355 0.6757 0.0711
```

***

no.,DFT formation energy (eV/atom)
1,-0.790
2,-0.563
3,-0.492
4,-0.284